Density functional theory data (PBE-GGA) for a geometry-optimized BeInSe3 structure.

abc: 5.259 5.259 5.259
angles: 90.00 90.00 90.00
Space group Pm-3m (No. 221)
Inequivalent atoms, fractional coordinates:
Be  0.000  0.000  0.000 [1 per cell]
In  0.500  0.500  0.500 [1 per cell]
Se  0.000  0.500  0.500 [3 per cell]

Values from the calculation:
excess energy over the best structure of this formula in the dataset = 0.804 eV/atom
calculated total energy = -2.47 eV per atom
size of the total moment = 0.00 μB per cell
calculated density = 4.12 g cm⁻³
raw formation energy = 0.9136 eV/atom